# 1
{"formula": "In2Se", "functional": "PBE", "state": "optimized geometry", "e_form_raw_mev_per_atom": -238.6, "total_energy_ev_per_atom": -3.226, "e_above_lowest_polymorph_mev_per_atom": 65, "space_group": "No. 63", "lattice_angstrom": [[7.469, 1.404, 8.327], [-9.357, 1.280, -6.157], [-1.734, -2.867, 2.039]], "species": ["In", "In", "In", "In", "Se", "Se"], "fractional_positions": [[0.440, 0.560, 0.250], [0.560, 0.440, 0.750], [0.712, 0.288, 0.250], [0.288, 0.712, 0.750], [0.116, 0.884, 0.250], [0.884, 0.116, 0.750]]}

***

# 2
{"formula": "LiB2Os", "functional": "PBE", "state": "optimized geometry", "total_energy_ev_per_atom": -6.154, "e_above_lowest_polymorph_mev_per_atom": 139, "ef_ev_per_atom": 0.471, "space_group": "No. 141", "lattice_angstrom": [[3.827, 0.000, 0.000], [0.000, 3.827, 0.000], [1.913, 1.913, 7.203]], "species": ["B", "B", "B", "B", "Os", "Os", "Li", "Li"], "fractional_positions": [[0.875, 0.125, 0.250], [0.875, 0.625, 0.250], [0.375, 0.125, 0.750], [0.875, 0.125, 0.750], [0.000, 0.000, 0.000], [0.750, 0.250, 0.500], [0.500, 0.500, 0.000], [0.250, 0.750, 0.500]]}

***

# 3
{"formula": "YMg2Mo", "functional": "PBE", "state": "optimized geometry", "total_energy_ev_per_atom": -4.839, "e_above_lowest_polymorph_mev_per_atom": 0, "ef_ev_per_atom": 0.282, "space_group": "No. 35", "lattice_angstrom": [[-0.990, -0.632, -2.804], [1.073, -2.721, 0.829], [-8.666, -2.326, 3.585]], "species": ["Mg", "Mg", "Mo", "Y"], "fractional_positions": [[0.000, 0.000, 0.014], [0.500, 0.500, 0.271], [0.000, 0.000, 0.491], [0.500, 0.500, 0.725]]}

***

# 4
{"formula": "ZrCd2Co", "functional": "PBE", "state": "optimized geometry", "total_energy_ev_per_atom": -4.311, "e_above_lowest_polymorph_mev_per_atom": 133, "ef_ev_per_atom": 0.060, "space_group": "No. 12", "lattice_angstrom": [[5.893, 0.006, 0.002], [5.063, 3.015, 0.002], [1.806, 0.498, 4.210]], "species": ["Cd", "Cd", "Co", "Zr"], "fractional_positions": [[0.037, 0.037, 0.963], [0.463, 0.463, 0.537], [0.750, 0.750, 0.750], [0.250, 0.250, 0.250]]}

***

# 5
{"formula": "Cd2CuNi", "functional": "PBE", "state": "optimized geometry", "total_energy_ev_per_atom": -2.865, "e_above_lowest_polymorph_mev_per_atom": 0, "ef_ev_per_atom": 0.062, "space_group": "No. 123", "lattice_angstrom": [[4.450, 0.000, 0.000], [0.000, 4.450, 0.000], [0.000, 0.000, 3.197]], "species": ["Ni", "Cu", "Cd", "Cd"], "fractional_positions": [[0.000, 0.500, 0.500], [0.500, 0.000, 0.500], [0.000, 0.000, 0.000], [0.500, 0.500, 0.000]]}

***

# 6
{"formula": "SrMgCd2Ga", "functional": "PBE", "state": "optimized geometry", "total_energy_ev_per_atom": -1.922, "ef_ev_per_atom": -0.295, "space_group": "No. 44", "lattice_angstrom": [[4.617, 0.000, 0.000], [0.000, 4.476, 0.000], [-2.309, -2.238, 6.225]], "species": ["Sr", "Mg", "Cd", "Cd", "Ga"], "fractional_positions": [[0.436, 0.436, 0.872], [0.200, 0.700, 0.401], [0.697, 0.197, 0.393], [0.048, 0.048, 0.097], [0.831, 0.831, 0.661]]}